The following is a PBE with a Hubbard U calculation of SrSmWO6 after structural relaxation, from the Alexandria database.

Unit cell a=5.752 b=5.752 c=5.158 alpha=90.00 beta=90.00 gamma=59.99
Fractional coordinates of all 9 atoms:
Sr1 0.000 0.000 0.000
Sm1 0.667 0.667 0.500
W1 0.333 0.333 0.500
O1 0.048 0.339 0.289
O2 0.339 0.048 0.711
O3 0.613 0.339 0.711
O4 0.048 0.613 0.711
O5 0.339 0.613 0.289
O6 0.613 0.048 0.289

Output
Final energy (Ry/atom): -0.536
Crystal system: trigonal